# 1
A geometry-optimized Pr2TeH2I structure, computed with PBE.

Calculated values
VASP energy = -26.905 eV per cell
V = 23.11 Å³ per atom

a = 4.1191 Å, b = 4.1191 Å, c = 9.4370 Å
α = 90.00°, β = 90.00°, γ = 120.00°
With the nearest neighbours (Å) after each atom.
Fractional positions:
Pr (0.3333, 0.6667, 0.2250)  3 H 2.39
Pr (0.6667, 0.3333, 0.7750)  3 H 2.39
Te (0.0000, 0.0000, 0.0000)  6 Pr 3.19, 6 H 3.36
H (0.3333, 0.6667, 0.7488)  3 Pr 2.39
H (0.6667, 0.3333, 0.2512)  3 Pr 2.39
I (0.0000, 0.0000, 0.5000)  6 H 3.34, 6 Pr 3.52

***

# 2
A geometry-optimized Mn2CoSb structure, computed with PBE.

Calculated values
uncorrected formation energy = 0.40 eV/atom
V = 16.20 Å³ per atom

a = 8.0616 Å, b = 8.0616 Å, c = 8.0616 Å
α = 22.06°, β = 22.06°, γ = 22.06°
With the nearest neighbours (Å) after each atom.
Fractional positions:
Mn (0.2405, 0.2405, 0.2405)  3 Co 2.49
Mn (0.7595, 0.7595, 0.7595)  3 Co 2.49
Co (0.5000, 0.5000, 0.5000)  6 Mn 2.49
Sb (0.0000, 0.0000, 0.0000)  6 Mn 2.82, 6 Sb 3.08

***

# 3
A geometry-optimized Ce5Zn2Ni12 structure, computed with PBE.

Calculated values
V = 15.70 Å³ per atom
energy of formation = -5.90 eV per formula unit

a = 8.2549 Å, b = 8.2549 Å, c = 6.0933 Å
α = 94.48°, β = 94.48°, γ = 46.14°
With the nearest neighbours (Å) after each atom.
Fractional positions:
Ce (0.0000, 0.0000, 0.0000)  8 Ni 2.63-2.85
Ce (0.2381, 0.2381, 0.9132)  1 Ni 2.50
Ce (0.3208, 0.3208, 0.4434)  5 Ni 2.67-2.88
Ce (0.6792, 0.6792, 0.5566)  5 Ni 2.67-2.88
Ce (0.7619, 0.7619, 0.0868)  1 Ni 2.50
Zn (0.2567, 0.7433, 0.5000)  8 Ni 2.54-2.78
Zn (0.7433, 0.2567, 0.5000)  8 Ni 2.54-2.78
Ni (0.0474, 0.6649, 0.7450)  4 Ni 2.45-2.55, 1 Ce 2.74
Ni (0.1237, 0.1237, 0.5939)  4 Ni 2.45-2.63, 1 Ce 2.50, 2 Zn 2.54
Ni (0.2114, 0.5992, 0.1370)  5 Ni 2.49-2.63, 1 Zn 2.55, 2 Ce 2.63-2.67
Ni (0.3351, 0.9526, 0.2550)  4 Ni 2.45-2.55, 1 Ce 2.74
Ni (0.4008, 0.7886, 0.8630)  5 Ni 2.49-2.63, 1 Zn 2.55, 2 Ce 2.63-2.67
Ni (0.4524, 0.4524, 0.8136)  7 Ni 2.49-2.59, 2 Zn 2.62
Ni (0.5476, 0.5476, 0.1864)  7 Ni 2.49-2.59, 2 Zn 2.62
Ni (0.5992, 0.2114, 0.1370)  5 Ni 2.49-2.63, 1 Zn 2.55, 2 Ce 2.63-2.67
Ni (0.6649, 0.0474, 0.7450)  4 Ni 2.45-2.55, 1 Ce 2.74
Ni (0.7886, 0.4008, 0.8630)  5 Ni 2.49-2.63, 1 Zn 2.55, 2 Ce 2.63-2.67
Ni (0.8763, 0.8763, 0.4061)  4 Ni 2.45-2.63, 1 Ce 2.50, 2 Zn 2.54
Ni (0.9526, 0.3351, 0.2550)  4 Ni 2.45-2.55, 1 Ce 2.74

***

# 4
A geometry-optimized Er5GaRh4 structure, computed with PBE.

Calculated values
V = 20.15 Å³ per atom
energy of formation = -8.66 eV per formula unit

a = 3.4325 Å, b = 3.4325 Å, c = 17.1029 Å
α = 90.00°, β = 90.00°, γ = 90.00°
With the nearest neighbours (Å) after each atom.
Fractional positions:
Er (0.0000, 0.0000, 0.0000)  8 Rh 2.95
Er (0.0000, 0.0000, 0.1962)  8 Rh 2.95-2.97
Er (0.0000, 0.0000, 0.3905)  4 Rh 2.92, 4 Ga 3.07
Er (0.0000, 0.0000, 0.6095)  4 Rh 2.92, 4 Ga 3.07
Er (0.0000, 0.0000, 0.8038)  8 Rh 2.95-2.97
Ga (0.5000, 0.5000, 0.5000)  8 Er 3.07, 4 Ga 3.43
Rh (0.5000, 0.5000, 0.0981)  8 Er 2.95
Rh (0.5000, 0.5000, 0.2959)  8 Er 2.92-2.97
Rh (0.5000, 0.5000, 0.7041)  8 Er 2.92-2.97
Rh (0.5000, 0.5000, 0.9019)  8 Er 2.95

***

# 5
A geometry-optimized MnSiSnIrS structure, computed with PBE.

Calculated values
uncorrected formation energy = -0.18 eV/atom
V = 16.75 Å³ per atom

a = 3.6347 Å, b = 2.9827 Å, c = 7.9351 Å
α = 90.00°, β = 103.17°, γ = 90.00°
With the nearest neighbours (Å) after each atom.
Fractional positions:
Mn (0.0000, 0.0000, 0.0000)  2 S 2.22, 4 Si 2.43
Si (0.4604, 0.5000, 0.9208)  2 Ir 2.40, 4 Mn 2.43
Sn (0.7500, 0.5000, 0.4937)  4 Ir 2.75, 2 S 2.82-2.84, 2 Sn 2.98
Ir (0.3415, 0.0000, 0.6777)  2 Si 2.40
S (0.1079, 0.5000, 0.2130)  2 Mn 2.22

***

# 6
A geometry-optimized Pm3Mg2Ge3 structure, computed with PBE.

Calculated values
V = 24.35 Å³ per atom
energy of formation = -4.07 eV per formula unit

a = 11.1813 Å, b = 11.1813 Å, c = 11.1813 Å
α = 159.08°, β = 157.01°, γ = 31.27°
With the nearest neighbours (Å) after each atom.
Fractional positions:
Pm (0.0000, 0.0000, 0.0000)  4 Ge 3.01
Pm (0.3758, 0.8758, 0.5000)  6 Ge 3.11-3.36, 2 Mg 3.38, 2 Pm 3.48
Pm (0.6242, 0.1242, 0.5000)  6 Ge 3.11-3.36, 2 Mg 3.38, 2 Pm 3.48
Mg (0.2501, 0.2501, 0.0000)  4 Ge 2.81-2.96, 4 Mg 3.01
Mg (0.7499, 0.7499, 0.0000)  4 Ge 2.81-2.96, 4 Mg 3.01
Ge (0.1596, 0.6596, 0.5000)  4 Mg 2.81-2.96, 4 Pm 3.11
Ge (0.5000, 0.5000, 0.0000)  8 Pm 3.01-3.36
Ge (0.8404, 0.3404, 0.5000)  4 Mg 2.81-2.96, 4 Pm 3.11

***

# 7
A geometry-optimized SmTmFe4 structure, computed with PBE.

Calculated values
V = 16.15 Å³ per atom
energy of formation = -0.34 eV per formula unit

a = 5.1554 Å, b = 5.1554 Å, c = 5.1554 Å
α = 60.00°, β = 60.00°, γ = 60.00°
With the nearest neighbours (Å) after each atom.
Fractional positions:
Sm (0.0000, 0.0000, 0.0000)  12 Fe 3.02, 4 Tm 3.16
Tm (0.7500, 0.7500, 0.7500)  12 Fe 3.02, 4 Sm 3.16
Fe (0.3753, 0.3753, 0.3753)  6 Fe 2.57-2.58
Fe (0.3753, 0.3753, 0.8741)  6 Fe 2.57-2.58
Fe (0.3753, 0.8741, 0.3753)  6 Fe 2.57-2.58
Fe (0.8741, 0.3753, 0.3753)  6 Fe 2.57-2.58

***

# 8
A geometry-optimized NaTaO3 structure, computed with PBE.

Calculated values
uncorrected formation energy = -2.48 eV/atom
V = 12.34 Å³ per atom

a = 3.3451 Å, b = 5.2498 Å, c = 7.0642 Å
α = 90.00°, β = 95.95°, γ = 90.00°
With the nearest neighbours (Å) after each atom.
Fractional positions:
Na (0.1360, 0.2500, 0.4003)  4 O 2.30-2.55
Na (0.8640, 0.7500, 0.5997)  4 O 2.30-2.55
Ta (0.2847, 0.7500, 0.1129)  1 O 1.84
Ta (0.7153, 0.2500, 0.8871)  1 O 1.84
O (0.2211, 0.0041, 0.8744)  3 Ta 2.09-2.14
O (0.2211, 0.4959, 0.8744)  3 Ta 2.09-2.14
O (0.3160, 0.7500, 0.3746)  1 Ta 1.84
O (0.6840, 0.2500, 0.6254)  1 Ta 1.84
O (0.7789, 0.5041, 0.1256)  3 Ta 2.09-2.14
O (0.7789, 0.9959, 0.1256)  3 Ta 2.09-2.14

***

In the order shown, the computed total magnetic moment values come out to 0.00; 8.37; 0.00; 0.00; 1.16; 0.03; 7.43; 0.00 μB/f.u..